Below is crystalline MnNiRh2N at its relaxed geometry, with properties calculated at the PBE-GGA level.

Formation energy (no corrections)   61.6 meV per atom
VASP energy   -7.5342 eV/atom

a = 4.097 Å, b = 4.097 Å, c = 3.748 Å
α = 90.00°, β = 90.00°, γ = 90.00°
Last column: magnetic moment on the atom in μB.
Fractional coordinates of all 5 atoms:
1 Ni 0.000 0.000 0.500  0.29
2 Mn 0.500 0.500 0.500  4.09
3 Rh 0.000 0.500 0.000  0.40
4 Rh 0.500 0.000 0.000  0.40
5 N 0.000 0.000 0.000  0.10


Below is crystalline Mn2NiRuN at its relaxed geometry, with properties calculated at the PBE-GGA level.

Formation energy (no corrections)   37.9 meV per atom
VASP energy   -8.3064 eV/atom

a = 3.816 Å, b = 3.816 Å, c = 3.798 Å
α = 90.00°, β = 90.00°, γ = 90.00°
Last column: magnetic moment on the atom in μB.
Fractional coordinates of all 5 atoms:
1 Ru 0.500 0.500 0.500  0.39
2 N 0.000 0.000 0.000  -0.06
3 Mn 0.000 0.500 0.000  2.06
4 Mn 0.500 0.000 0.000  2.06
5 Ni 0.000 0.000 0.500  0.17


Below is crystalline Mn2NiRuN at its relaxed geometry, with properties calculated at the PBE-GGA level.

Formation energy (no corrections)   -9.4 meV per atom
VASP energy   -8.3537 eV/atom

a = 3.874 Å, b = 3.874 Å, c = 3.930 Å
α = 90.00°, β = 90.00°, γ = 90.00°
Last column: magnetic moment on the atom in μB.
Fractional coordinates of all 5 atoms:
1 Ru 0.000 0.000 0.500  -0.01
2 N 0.000 0.000 0.000  -0.11
3 Mn 0.000 0.500 0.000  2.88
4 Mn 0.500 0.000 0.000  2.88
5 Ni 0.500 0.500 0.500  0.73


Below is crystalline MnNi2SbN at its relaxed geometry, with properties calculated at the PBE-GGA level.

Formation energy (no corrections)   -39.7 meV per atom
VASP energy   -6.6757 eV/atom

a = 3.954 Å, b = 3.954 Å, c = 3.980 Å
α = 90.00°, β = 90.00°, γ = 90.00°
Last column: magnetic moment on the atom in μB.
Fractional coordinates of all 5 atoms:
1 Sb 0.500 0.500 0.500  -0.04
2 N 0.000 0.000 0.000  -0.02
3 Mn 0.000 0.000 0.500  2.92
4 Ni 0.000 0.500 0.000  0.03
5 Ni 0.500 0.000 0.000  0.03


Below is crystalline ScMnNiN2 at its relaxed geometry, with properties calculated at the PBE-GGA level.

Formation energy (no corrections)   1163.9 meV per atom
VASP energy   -6.4227 eV/atom

a = 3.801 Å, b = 4.522 Å, c = 3.801 Å
α = 90.00°, β = 90.00°, γ = 90.00°
Last column: magnetic moment on the atom in μB.
Fractional coordinates of all 5 atoms:
1 Sc 0.000 0.500 0.000  -0.34
2 Ni 0.000 0.000 0.000  -0.12
3 Mn 0.500 0.500 0.500  3.58
4 N 0.000 0.000 0.500  -0.28
5 N 0.500 0.000 0.000  -0.41


Below is crystalline MnNiSe2N at its relaxed geometry, with properties calculated at the PBE-GGA level.

Formation energy (no corrections)   475.4 meV per atom
VASP energy   -5.5737 eV/atom

a = 4.992 Å, b = 4.992 Å, c = 3.412 Å
α = 90.00°, β = 90.00°, γ = 90.00°
Last column: magnetic moment on the atom in μB.
Fractional coordinates of all 5 atoms:
1 Ni 0.000 0.000 0.000  0.00
2 Mn 0.500 0.500 0.500  4.33
3 Se 0.000 0.500 0.000  -0.01
4 Se 0.500 0.000 0.000  -0.01
5 N 0.000 0.000 0.500  0.03


Below is crystalline MnNiSe2N at its relaxed geometry, with properties calculated at the PBE-GGA level.

Formation energy (no corrections)   423.3 meV per atom
VASP energy   -5.6257 eV/atom

a = 4.858 Å, b = 4.858 Å, c = 3.410 Å
α = 90.00°, β = 90.00°, γ = 90.00°
Last column: magnetic moment on the atom in μB.
Fractional coordinates of all 5 atoms:
1 Ni 0.500 0.500 0.500  -0.66
2 Mn 0.000 0.000 0.000  1.60
3 Se 0.000 0.500 0.000  -0.08
4 Se 0.500 0.000 0.000  -0.08
5 N 0.000 0.000 0.500  -0.19


Below is crystalline MnTcNi2N at its relaxed geometry, with properties calculated at the PBE-GGA level.

Formation energy (no corrections)   22.9 meV per atom
VASP energy   -7.8618 eV/atom

a = 3.832 Å, b = 3.832 Å, c = 3.967 Å
α = 90.00°, β = 90.00°, γ = 90.00°
Last column: magnetic moment on the atom in μB.
Fractional coordinates of all 5 atoms:
1 Ni 0.000 0.500 0.000  0.26
2 Ni 0.500 0.000 0.000  0.26
3 Mn 0.500 0.500 0.500  3.81
4 Tc 0.000 0.000 0.500  0.00
5 N 0.000 0.000 0.000  0.04


Below is crystalline MnTc2NiN at its relaxed geometry, with properties calculated at the PBE-GGA level.

Formation energy (no corrections)   6.4 meV per atom
VASP energy   -8.7953 eV/atom

a = 3.996 Å, b = 3.996 Å, c = 3.804 Å
α = 90.00°, β = 90.00°, γ = 90.00°
Last column: magnetic moment on the atom in μB.
Fractional coordinates of all 5 atoms:
1 Ni 0.500 0.500 0.500  0.19
2 Mn 0.000 0.000 0.500  2.54
3 Tc 0.000 0.500 0.000  -0.24
4 Tc 0.500 0.000 0.000  -0.24
5 N 0.000 0.000 0.000  -0.04


Below is crystalline Mn2TcNiN at its relaxed geometry, with properties calculated at the PBE-GGA level.

Formation energy (no corrections)   -42.6 meV per atom
VASP energy   -8.6050 eV/atom

a = 3.831 Å, b = 3.831 Å, c = 3.967 Å
α = 90.00°, β = 90.00°, γ = 90.00°
Last column: magnetic moment on the atom in μB.
Fractional coordinates of all 5 atoms:
1 Ni 0.500 0.500 0.500  0.27
2 Mn 0.000 0.500 0.000  2.51
3 Mn 0.500 0.000 0.000  2.51
4 Tc 0.000 0.000 0.500  -0.40
5 N 0.000 0.000 0.000  -0.06


Below is crystalline MnTcNi2N at its relaxed geometry, with properties calculated at the PBE-GGA level.

Formation energy (no corrections)   2150.6 meV per atom
VASP energy   -5.7341 eV/atom

a = 4.184 Å, b = 4.359 Å, c = 4.184 Å
α = 90.00°, β = 90.00°, γ = 90.00°
Last column: magnetic moment on the atom in μB.
Fractional coordinates of all 5 atoms:
1 Ni 0.000 0.000 0.500  0.29
2 Ni 0.500 0.000 0.000  0.27
3 Mn 0.000 0.000 0.000  0.46
4 Tc 0.000 0.500 0.000  -0.13
5 N 0.500 0.500 0.500  0.96


Below is crystalline Mn2TlNiN at its relaxed geometry, with properties calculated at the PBE-GGA level.

Formation energy (no corrections)   44.0 meV per atom
VASP energy   -6.9184 eV/atom

a = 3.894 Å, b = 3.894 Å, c = 4.098 Å
α = 90.00°, β = 90.00°, γ = 90.00°
Last column: magnetic moment on the atom in μB.
Fractional coordinates of all 5 atoms:
1 Ni 0.000 0.000 0.500  0.02
2 Tl 0.500 0.500 0.500  -0.11
3 Mn 0.000 0.500 0.000  2.25
4 Mn 0.500 0.000 0.000  2.25
5 N 0.000 0.000 0.000  -0.09